Computed, not measured: crystalline Sc2BiTeO8 at its relaxed geometry at the PBE-GGA level of DFT.

The space group is Cmmm (No. 65) and the conventional cell measures 6.754, 6.945 and 6.670 Å, with angles of 90.00, 90.00 and 90.00 degrees. Symmetry generates all atoms from Sc at (0.000, 0.000, 0.242), Bi at (0.000, 0.500, 0.500), Te at (0.000, 0.500, 0.000), O at (0.000, 0.309, 0.217), O at (0.178, 0.000, 0.500) and O at (0.210, 0.000, 0.000).

The theoretical density is 5.89 g/cm³. For the size of the total moment, the calculation gives 0.000 μB per formula unit. The uncorrected formation energy is -2.050 eV per atom. The calculation puts the density of states at the Fermi level at 2.94 states/eV per cell.